Entry 1:
{"formula": "CuRh2Au", "functional": "GGA-PBE", "state": "optimized geometry", "polymorph_energy_ev_per_atom": 0.132, "n_ef_per_ev_cell": 4.57, "final_energy_ev_per_atom": -5.32, "spacegroup": "No. 35", "magmom_total_mub_per_fu": 0.0, "rho_kg_m3": 12838, "cell": [[1.380, -2.361, 0.000], [1.380, 2.361, 0.000], [0.000, 0.000, 9.257]], "species": ["Cu", "Rh", "Rh", "Au"], "frac_coords": [[0.000, 0.000, 0.000], [0.000, 0.000, 0.478], [0.500, 0.500, 0.235], [0.500, 0.500, 0.750]]}

=====

Entry 2:
{"formula": "Tm4PbAuN", "functional": "GGA-PBE", "state": "optimized geometry", "n_ef_per_ev_cell": 5.29, "final_energy_ev_per_atom": -5.64, "spacegroup": "No. 63", "magmom_total_mub_per_fu": 0.0, "raw_formation_energy_ev_per_atom": -0.894, "rho_kg_m3": 11074, "cell": [[3.295, -7.561, 0.000], [3.295, 7.561, 0.000], [0.000, 0.000, 6.584]], "species": ["Tm", "Tm", "Tm", "Tm", "Tm", "Tm", "Tm", "Tm", "Pb", "Pb", "Au", "Au", "N", "N"], "frac_coords": [[0.000, 0.500, 0.000], [0.000, 0.500, 0.500], [0.071, 0.929, 0.750], [0.410, 0.590, 0.750], [0.500, 0.000, 0.000], [0.500, 0.000, 0.500], [0.590, 0.410, 0.250], [0.929, 0.071, 0.250], [0.390, 0.610, 0.250], [0.610, 0.390, 0.750], [0.119, 0.881, 0.250], [0.881, 0.119, 0.750], [0.255, 0.745, 0.750], [0.745, 0.255, 0.250]]}

=====

Entry 3:
{"formula": "SmHoEr4", "functional": "GGA-PBE", "state": "optimized geometry", "polymorph_energy_ev_per_atom": 0.000, "n_ef_per_ev_cell": 20.01, "final_energy_ev_per_atom": -4.43, "spacegroup": "No. 15", "magmom_total_mub_per_fu": 0.0, "rho_kg_m3": 8552, "cell": [[4.372, -7.299, 0.000], [4.372, 7.299, 0.000], [-2.394, 0.000, 5.989]], "species": ["Sm", "Sm", "Ho", "Ho", "Er", "Er", "Er", "Er", "Er", "Er", "Er", "Er"], "frac_coords": [[0.006, 0.994, 0.750], [0.994, 0.006, 0.250], [0.413, 0.587, 0.750], [0.587, 0.413, 0.250], [0.107, 0.711, 0.459], [0.174, 0.426, 0.117], [0.289, 0.893, 0.041], [0.426, 0.174, 0.617], [0.574, 0.826, 0.383], [0.711, 0.107, 0.959], [0.826, 0.574, 0.883], [0.893, 0.289, 0.541]]}

=====

Entry 4:
{"formula": "HgIr2W", "functional": "GGA-PBE", "state": "optimized geometry", "n_ef_per_ev_cell": 2.61, "final_energy_ev_per_atom": -7.33, "spacegroup": "No. 119", "magmom_total_mub_per_fu": 0.0, "rho_kg_m3": 19771, "cell": [[-1.949, 1.949, 4.251], [1.949, -1.949, 4.251], [1.949, 1.949, -4.251]], "species": ["Hg", "Ir", "Ir", "W"], "frac_coords": [[0.000, 0.000, 0.000], [0.250, 0.750, 0.500], [0.500, 0.500, 0.000], [0.750, 0.250, 0.500]]}

=====

Entry 5:
{"formula": "EuErZnCu", "functional": "GGA-PBE", "state": "optimized geometry", "n_ef_per_ev_cell": 3.42, "final_energy_ev_per_atom": -5.24, "spacegroup": "No. 216", "magmom_total_mub_per_fu": 7.1, "rho_kg_m3": 8111, "cell": [[0.000, 3.580, 3.580], [3.580, 0.000, 3.580], [3.580, 3.580, 0.000]], "species": ["Eu", "Er", "Zn", "Cu"], "frac_coords": [[0.000, 0.000, 0.000], [0.500, 0.500, 0.500], [0.750, 0.750, 0.750], [0.250, 0.250, 0.250]]}

=====

Entry 6:
{"formula": "TlCoCl4", "functional": "GGA-PBE", "state": "optimized geometry", "polymorph_energy_ev_per_atom": 1.273, "n_ef_per_ev_cell": 8.30, "final_energy_ev_per_atom": -2.25, "spacegroup": "No. 216", "magmom_total_mub_per_fu": 4.0, "raw_formation_energy_ev_per_atom": 0.562, "rho_kg_m3": 4328, "cell": [[0.000, 4.267, 4.267], [4.267, 0.000, 4.267], [4.267, 4.267, 0.000]], "species": ["Tl", "Co", "Cl", "Cl", "Cl", "Cl"], "frac_coords": [[0.000, 0.000, 0.000], [0.250, 0.250, 0.250], [0.127, 0.624, 0.624], [0.624, 0.127, 0.624], [0.624, 0.624, 0.127], [0.624, 0.624, 0.624]]}

=====

Entry 7:
{"formula": "BaCa2Ge6", "functional": "GGA-PBE", "state": "optimized geometry", "n_ef_per_ev_cell": 2.34, "final_energy_ev_per_atom": -4.13, "spacegroup": "No. 71", "magmom_total_mub_per_fu": 0.0, "rho_kg_m3": 4593, "cell": [[-2.100, 4.836, 5.815], [2.100, -4.836, 5.815], [2.100, 4.836, -5.815]], "species": ["Ba", "Ca", "Ca", "Ge", "Ge", "Ge", "Ge", "Ge", "Ge"], "frac_coords": [[0.000, 0.000, 0.000], [0.350, 0.850, 0.500], [0.650, 0.150, 0.500], [0.039, 0.319, 0.721], [0.357, 0.500, 0.857], [0.402, 0.681, 0.721], [0.598, 0.319, 0.279], [0.643, 0.500, 0.143], [0.961, 0.681, 0.279]]}